This record from the Alexandria database describes SrZr4Mn after structural relaxation. The functional is PBE.

Properties
As for the energy of formation: 614 meV per atom. Its magnetic moment is 0.63 μB per atom.

Structure (CIF):
```
data_SrZr4Mn
_symmetry_space_group_name_H-M 'F -4 3 m'
_symmetry_Int_Tables_number 216
_symmetry_space_group_name_Hall 'F -4 2 3'
_cell_length_a 8.514
_cell_length_b 8.514
_cell_length_c 8.514
_cell_angle_alpha 90.00
_cell_angle_beta 90.00
_cell_angle_gamma 90.00
loop_
_atom_site_label
_atom_site_type_symbol
_atom_site_fract_x
_atom_site_fract_y
_atom_site_fract_z
Sr1 Sr 0.000 0.000 0.000
Zr1 Zr 0.124 0.124 0.624
Mn1 Mn 0.250 0.250 0.250
```

=====

This record from the Alexandria database describes SrZr3Mn after structural relaxation. The functional is PBE.

Properties
For the polymorph energy (0 for the lowest one), the calculation gives 0.000 eV/atom. As for the energy of formation: 356 meV per atom. Its magnetic moment is 0.00 μB per atom.

Structure (CIF):
```
data_SrZr3Mn
_symmetry_space_group_name_H-M 'P m -3 m'
_symmetry_Int_Tables_number 221
_symmetry_space_group_name_Hall '-P 4 2 3'
_cell_length_a 5.042
_cell_length_b 5.042
_cell_length_c 5.042
_cell_angle_alpha 90.00
_cell_angle_beta 90.00
_cell_angle_gamma 90.00
loop_
_atom_site_label
_atom_site_type_symbol
_atom_site_fract_x
_atom_site_fract_y
_atom_site_fract_z
Sr1 Sr 0.000 0.000 0.000
Zr1 Zr 0.000 0.500 0.500
Mn1 Mn 0.500 0.500 0.500
```

=====

This record from the Alexandria database describes Sr2ZrMn after structural relaxation. The functional is PBE.

Properties
For the polymorph energy (0 for the lowest one), the calculation gives 0.450 eV/atom. As for the energy of formation: 768 meV per atom. Its magnetic moment is 1.12 μB per atom.

Structure (CIF):
```
data_Sr2ZrMn
_symmetry_space_group_name_H-M 'R -3 m'
_symmetry_Int_Tables_number 166
_symmetry_space_group_name_Hall '-R 3 2"'
_cell_length_a 3.5858
_cell_length_b 3.5858
_cell_length_c 33.4344
_cell_angle_alpha 90.00
_cell_angle_beta 90.00
_cell_angle_gamma 120.00
loop_
_atom_site_label
_atom_site_type_symbol
_atom_site_fract_x
_atom_site_fract_y
_atom_site_fract_z
Sr1 Sr 0.0000 0.0000 0.2453
Zr1 Zr 0.0000 0.0000 0.0000
Mn1 Mn 0.0000 0.0000 0.5000
```

=====

This record from the Alexandria database describes Sr2ZrMn after structural relaxation. The functional is PBE.

Properties
For the polymorph energy (0 for the lowest one), the calculation gives 0.000 eV/atom. As for the energy of formation: 317 meV per atom. Its magnetic moment is 0.44 μB per atom.

Structure (CIF):
```
data_Sr2ZrMn
_symmetry_space_group_name_H-M 'P m m 2'
_symmetry_Int_Tables_number 25
_symmetry_space_group_name_Hall 'P 2 -2'
_cell_length_a 3.679
_cell_length_b 3.696
_cell_length_c 9.364
_cell_angle_alpha 90.00
_cell_angle_beta 90.00
_cell_angle_gamma 90.00
loop_
_atom_site_label
_atom_site_type_symbol
_atom_site_fract_x
_atom_site_fract_y
_atom_site_fract_z
Sr1 Sr 0.000 0.000 0.000
Sr2 Sr 0.500 0.500 0.373
Zr1 Zr 0.000 0.000 0.647
Mn1 Mn 0.500 0.500 0.749
```

=====

Question: Which of these has the lowest magnetic moment?
Answer: SrZr3Mn